--- w ---
Here is a geometry-optimized Y2TmZn structure from Alexandria. Energies are from GGA-PBE.

It has space group R3m (No. 160, hexagonal axes), with a = 3.6122 Å, b = 3.6122 Å, c = 30.3970 Å, α = 90.00°, β = 90.00° and γ = 120.00°. The distinct sites, in fractional coordinates, are Y at (0.0000, 0.0000, 0.0000), Y at (0.0000, 0.0000, 0.1880), Tm at (0.0000, 0.0000, 0.4275) and Zn at (0.0000, 0.0000, 0.5936).

The value obtained for the volume is 28.6 Å³/atom.


--- x ---
Here is a geometry-optimized Y2TmZn structure from Alexandria. Energies are from GGA-PBE.

It has space group P4/mmm (No. 123), with a = 5.2497 Å, b = 5.2497 Å, c = 3.9180 Å, α = 90.00°, β = 90.00° and γ = 90.00°. The distinct sites, in fractional coordinates, are Y at (0.0000, 0.5000, 0.0000), Tm at (0.0000, 0.0000, 0.5000) and Zn at (0.5000, 0.5000, 0.5000).

The value obtained for the volume is 27.0 Å³/atom.


It is w that is the most stable of them.


--- w ---
Here is a geometry-optimized YTmZn structure from Alexandria. Energies are from GGA-PBE.

It has space group I4mm (No. 107), with a = 3.5545 Å, b = 3.5545 Å, c = 12.1601 Å, α = 90.00°, β = 90.00° and γ = 90.00°. The distinct sites, in fractional coordinates, are Y at (0.0000, 0.0000, 0.0000), Tm at (0.0000, 0.0000, 0.2865) and Zn at (0.0000, 0.0000, 0.6486).

The value obtained for the volume is 25.6 Å³/atom.


--- x ---
Here is a geometry-optimized YTmZn structure from Alexandria. Energies are from GGA-PBE.

It has space group I-4m2 (No. 119), with a = 4.9264 Å, b = 4.9264 Å, c = 6.9578 Å, α = 90.00°, β = 90.00° and γ = 90.00°. The distinct sites, in fractional coordinates, are Y at (0.0000, 0.0000, 0.0000), Tm at (0.0000, 0.0000, 0.5000) and Zn at (0.0000, 0.5000, 0.2500).

The value obtained for the volume is 28.1 Å³/atom.


It is w that is the most stable of them.


--- w ---
Here is a geometry-optimized YTmZn structure from Alexandria. Energies are from GGA-PBE.

It has space group P4/nmm (No. 129, origin choice 2), with a = 4.6488 Å, b = 4.6488 Å, c = 7.4377 Å, α = 90.00°, β = 90.00° and γ = 90.00°. The distinct sites, in fractional coordinates, are Y at (0.2500, 0.2500, 0.1849), Tm at (0.2500, 0.2500, 0.7199) and Zn at (0.2500, 0.7500, 0.5000).

The value obtained for the volume is 26.8 Å³/atom.


--- x ---
Here is a geometry-optimized YTmZn structure from Alexandria. Energies are from GGA-PBE.

It has space group P3m1 (No. 156), with a = 4.9685 Å, b = 4.9685 Å, c = 3.6245 Å, α = 90.00°, β = 90.00° and γ = 120.00°. The distinct sites, in fractional coordinates, are Y at (0.0000, 0.0000, 0.0000), Tm at (0.3333, 0.6667, 0.5345) and Zn at (0.6667, 0.3333, 0.3212).

The value obtained for the volume is 25.8 Å³/atom.


It is x that is the most stable of them.


--- w ---
Here is a geometry-optimized Y2Tm2Zn structure from Alexandria. Energies are from GGA-PBE.

It has space group I4/mmm (No. 139), with a = 3.5445 Å, b = 3.5445 Å, c = 22.1443 Å, α = 90.00°, β = 90.00° and γ = 90.00°. The distinct sites, in fractional coordinates, are Y at (0.0000, 0.0000, 0.0810), Tm at (0.0000, 0.0000, 0.3035) and Zn at (0.0000, 0.0000, 0.5000).

The value obtained for the volume is 27.8 Å³/atom.


--- x ---
Here is a geometry-optimized Y2Tm2Zn structure from Alexandria. Energies are from GGA-PBE.

It has space group I4_1/amd (No. 141, origin choice 2), with a = 4.9393 Å, b = 4.9393 Å, c = 24.1220 Å, α = 90.00°, β = 90.00° and γ = 90.00°. The distinct sites, in fractional coordinates, are Y at (0.0000, 0.2500, 0.0527), Tm at (0.0000, 0.2500, 0.1954) and Zn at (0.0000, 0.2500, 0.8750).

The value obtained for the volume is 29.4 Å³/atom.


It is w that is the most stable of them.